Computed, not measured: a geometry-optimized Li3V2O4F4 structure at the PBE+U level of DFT.

Computed properties:
- magnetic moment (μB per formula unit) = 1.00
- energy above the most stable polymorph in this dataset (kJ/mol of atoms) = 1.77
- SG = P1
- calculated total energy (eV/f.u.) = -79.01

a = 4.999 Å, b = 7.316 Å, c = 7.732 Å
α = 101.76°, β = 90.10°, γ = 90.98°
Fractional coordinates of all 26 atoms:
Li  0.744  0.970  0.087
Li  0.764  0.639  0.379
Li  0.764  0.186  0.395
Li  0.249  0.848  0.643
Li  0.280  0.297  0.610
Li  0.230  0.535  0.904
V  0.236  0.833  0.176
V  0.261  0.328  0.166
V  0.723  0.672  0.838
V  0.769  0.177  0.844
O  0.931  0.701  0.032
O  0.564  0.195  0.033
O  0.364  0.555  0.175
O  0.109  0.052  0.185
O  0.875  0.953  0.827
O  0.598  0.448  0.810
O  0.444  0.791  0.952
O  0.057  0.303  0.946
F  0.578  0.917  0.294
F  0.937  0.396  0.307
F  0.086  0.801  0.401
F  0.431  0.304  0.391
F  0.588  0.702  0.608
F  0.926  0.203  0.612
F  0.057  0.600  0.700
F  0.455  0.095  0.685